1.
Computed, not measured: Y6Cd3Os after structural relaxation at the GGA-PBE level of DFT.

ΔH_f (0 K) = -244 kJ/mol of formula units

Cell: 9.128 5.276 11.538 Å, 90.00 108.93 90.00°
Space group P2_1/m (No. 11)
Inequivalent atoms, fractional coordinates:
Y (0.029, 0.250, 0.413)
Y (0.188, 0.750, 0.163)
Y (0.280, 0.250, 0.003)
Y (0.351, 0.750, 0.834)
Y (0.378, 0.250, 0.347)
Y (0.386, 0.250, 0.649)
Cd (0.008, 0.750, 0.868)
Cd (0.083, 0.250, 0.721)
Cd (0.271, 0.750, 0.471)
Os (0.462, 0.750, 0.095)



2.
Computed, not measured: NaCrSbSe3 after structural relaxation at the GGA-PBE level of DFT.

Uncorrected formation energy = -47.6 kJ per mole of atoms

Cell: 7.940 3.821 11.036 Å, 90.00 99.88 90.00°
Space group P2_1/m (No. 11)
Inequivalent atoms, fractional coordinates:
Na (0.146, 0.250, 0.144)
Cr (0.366, 0.750, 0.875)
Sb (0.100, 0.250, 0.594)
Se (0.145, 0.250, 0.860)
Se (0.347, 0.750, 0.639)
Se (0.417, 0.750, 0.109)



3.
Computed, not measured: Na3LuCl6 after structural relaxation at the GGA-PBE level of DFT.

Uncorrected formation energy = -192.8 kJ per mole of atoms

Cell: 6.880 7.281 12.211 Å, 90.00 123.49 90.00°
Space group P2_1/c (No. 14)
Inequivalent atoms, fractional coordinates:
Na (0.000, 0.000, 0.000)
Na (0.210, 0.075, 0.736)
Lu (0.500, 0.000, 0.500)
Cl (0.132, 0.181, 0.439)
Cl (0.247, 0.703, 0.417)
Cl (0.405, 0.067, 0.266)



4.
Computed, not measured: Ba2ZnW after structural relaxation at the GGA-PBE level of DFT.

ΔH_f (0 K) = 266 kJ/mol of formula units

Cell: 3.647 3.647 9.525 Å, 90.00 90.00 90.00°
Space group P4mm (No. 99)
Inequivalent atoms, fractional coordinates:
Ba (0.000, 0.000, 0.000)
Ba (0.500, 0.500, 0.420)
Zn (0.500, 0.500, 0.748)
W (0.000, 0.000, 0.676)